# 1
# CuNi2Os

A relaxed CuNi2Os crystal (GGA-PBEsol, the Alexandria database).

Cell: 3.5983 3.5983 4.3727 Å, 114.30 114.30 90.00°
Element x y z (fractional)
Cu: 0.2500 0.7500 0.5000
Ni: 0.7500 0.2500 0.5000
Ni: 0.0000 0.0000 0.0000
Os: 0.5000 0.5000 0.0000

## Properties
Fermi-level density of states (states/eV/f.u.): 5.61
Energy of formation (eV per atom): 0.264
Total magnetic moment (μB/cell): 0.0
SG: I-4m2 (119)
E_tot (eV per atom): -6.952

=====

# 2
# P3Pb5O13

A relaxed P3Pb5O13 crystal (GGA-PBEsol, the Alexandria database).

Cell: 7.3351 9.7905 9.7905 Å, 120.00 90.00 90.00°
Last column: magnetic moment on the atom in μB.
Element x y z (fractional)
P: 0.7500 0.3694 0.9690  0.00
P: 0.7500 0.0310 0.4005  0.00
P: 0.7500 0.5995 0.6306  0.00
P: 0.2500 0.4005 0.3694  0.00
P: 0.2500 0.9690 0.5995  0.00
P: 0.2500 0.6306 0.0310  0.00
Pb: 0.7500 0.2355 0.2339  0.07
Pb: 0.7500 0.9984 0.7645  0.07
Pb: 0.2500 0.7645 0.7661  0.07
Pb: 0.9981 0.6667 0.3333  0.00
Pb: 0.5019 0.6667 0.3333  0.00
Pb: 0.2500 0.2339 0.9984  0.07
Pb: 0.4981 0.3333 0.6667  0.00
Pb: 0.2500 0.0016 0.2355  0.07
Pb: 0.0019 0.3333 0.6667  0.00
Pb: 0.7500 0.7661 0.0016  0.07
O: 0.7500 0.4156 0.5327  0.04
O: 0.2500 0.1497 0.6702  0.02
O: 0.0798 0.7409 0.0874  0.03
O: 0.4202 0.7409 0.0874  0.03
O: 0.9202 0.0874 0.3464  0.03
O: 0.4202 0.3464 0.2591  0.03
O: 0.0798 0.3464 0.2591  0.03
O: 0.9202 0.2591 0.9126  0.03
O: 0.4202 0.9126 0.6536  0.03
O: 0.9202 0.6536 0.7409  0.03
O: 0.2500 0.5844 0.4673  0.04
O: 0.2500 0.0000 0.0000  0.34
O: 0.5798 0.2591 0.9126  0.03
O: 0.7500 0.0000 0.0000  0.34
O: 0.0798 0.9126 0.6536  0.03
O: 0.2500 0.5205 0.8503  0.02
O: 0.2500 0.8830 0.4156  0.04
O: 0.5798 0.6536 0.7409  0.03
O: 0.7500 0.4795 0.1497  0.02
O: 0.7500 0.1170 0.5844  0.04
O: 0.2500 0.3298 0.4795  0.02
O: 0.7500 0.8503 0.3298  0.02
O: 0.2500 0.5327 0.1170  0.04
O: 0.7500 0.4673 0.8830  0.04
O: 0.7500 0.6702 0.5205  0.02
O: 0.5798 0.0874 0.3464  0.03

## Properties
Fermi-level density of states (states/eV/f.u.): 5.59
Total magnetic moment (μB/cell): 2.1
SG: P6_3/m (176)
E_tot (eV per atom): -6.815

=====

# 3
# CsTa2SiSe

A relaxed CsTa2SiSe crystal (GGA-PBEsol, the Alexandria database).

Cell: 4.8363 4.8363 5.3853 Å, 90.00 90.00 90.00°
Last column: magnetic moment on the atom in μB.
Element x y z (fractional)
Se: 0.0000 0.0000 0.5000  -0.04
Si: 0.0000 0.0000 0.0000  -0.01
Ta: 0.0000 0.5000 0.0000  0.38
Ta: 0.5000 0.0000 0.0000  0.38
Cs: 0.5000 0.5000 0.5000  0.05

## Properties
Fermi-level density of states (states/eV/f.u.): 6.75
Total magnetic moment (μB/cell): 1.3
SG: P4/mmm (123)
E_tot (eV per atom): -5.897